Entry from Alexandria via LeMat-Bulk: a relaxed structure of HfGa2Pd2 (PBE).

Structure (POSCAR):
```
HfGa2Pd2
1.0
7.5100 0.0000 0.0000
0.0000 7.5100 0.0000
0.0000 0.0000 2.9020
Pd Ga Hf
4 4 2
Direct
0.8325 0.3325 0.5000 Pd
0.1675 0.6675 0.5000 Pd
0.3325 0.1675 0.5000 Pd
0.6675 0.8325 0.5000 Pd
0.1300 0.3700 0.0000 Ga
0.3700 0.8700 0.0000 Ga
0.6300 0.1300 0.0000 Ga
0.8700 0.6300 0.0000 Ga
0.5000 0.5000 0.0000 Hf
0.0000 0.0000 0.0000 Hf
```

Summary:
Energy above the most stable polymorph in this dataset ... 106 meV per atom
Total magnetization ... 0.0 μB per cell
Raw total energy ... -5.774 eV/atom
SG ... No. 127
Energy relative to the elements ... -0.50 eV/atom

***

Entry from Alexandria via LeMat-Bulk: a relaxed structure of Hf8Ga2Pd3 (PBE).

Structure (POSCAR):
```
Hf8Ga2Pd3
1.0
4.8420 0.0000 0.6692
0.0000 7.8440 0.0000
-0.9524 -3.9220 6.8861
Hf Ga Pd
8 2 3
Direct
0.5000 0.5868 0.7651 Hf
0.5000 0.8216 0.2349 Hf
0.5000 0.4132 0.2349 Hf
0.0000 0.6832 0.3664 Hf
0.0000 0.3168 0.6336 Hf
0.5000 0.1784 0.7651 Hf
0.0000 0.1038 0.2075 Hf
0.0000 0.8962 0.7925 Hf
0.5000 0.2195 0.4390 Ga
0.5000 0.7805 0.5610 Ga
0.0000 0.3190 0.0000 Pd
0.5000 0.0000 0.0000 Pd
0.0000 0.6810 0.0000 Pd
```

Summary:
Total magnetization ... 0.0 μB per cell
Raw total energy ... -7.935 eV/atom
SG ... No. 65
Energy relative to the elements ... -0.15 eV/atom

***

Entry from Alexandria via LeMat-Bulk: a relaxed structure of HfGa3Pd (PBE).

Structure (POSCAR):
```
HfGa3Pd
1.0
-2.6307 1.7565 4.0104
-4.3760 -0.9062 -2.4736
-0.1391 -4.7099 1.9716
Pd Ga Hf
1 3 1
Direct
0.5000 0.5000 0.5000 Pd
0.5000 0.0000 0.0000 Ga
0.0000 0.5000 0.0000 Ga
0.0000 0.0000 0.5000 Ga
0.0000 0.0000 0.0000 Hf
```

Summary:
Energy above the most stable polymorph in this dataset ... 1160 meV per atom
Total magnetization ... 0.0 μB per cell
Raw total energy ... -4.021 eV/atom
SG ... No. 221
Energy relative to the elements ... 0.82 eV/atom

***

Entry from Alexandria via LeMat-Bulk: a relaxed structure of HfGa4Pd7 (PBE).

Structure (POSCAR):
```
HfGa4Pd7
1.0
4.8044 0.0000 0.0000
2.4022 7.3991 0.0562
2.4022 0.3064 5.7255
Ga Pd Hf
4 7 1
Direct
0.4217 0.7784 0.3783 Ga
0.2833 0.3361 0.0972 Ga
0.5783 0.2216 0.6217 Ga
0.7167 0.6639 0.9028 Ga
0.5000 0.0000 0.0000 Pd
0.6525 0.4292 0.2658 Pd
0.0680 0.6639 0.2001 Pd
0.2190 0.1146 0.4475 Pd
0.3475 0.5708 0.7342 Pd
0.9320 0.3361 0.7999 Pd
0.7810 0.8854 0.5525 Pd
0.0000 0.0000 0.0000 Hf
```

Summary:
Total magnetization ... 0.0 μB per cell
Raw total energy ... -5.280 eV/atom
SG ... No. 12
Energy relative to the elements ... -0.41 eV/atom

***

Entry from Alexandria via LeMat-Bulk: a relaxed structure of HfGaPd (PBE).

Structure (POSCAR):
```
HfGaPd
1.0
-2.9707 0.0244 1.0498
-0.8279 -1.9923 -2.2964
2.9577 -3.0150 3.7111
Ga Hf Pd
1 1 1
Direct
0.9618 0.9618 0.9235 Ga
0.2840 0.2840 0.5681 Hf
0.6042 0.6042 0.2084 Pd
```

Summary:
Total magnetization ... 0.0 μB per cell
Raw total energy ... -6.643 eV/atom
SG ... No. 107
Energy relative to the elements ... -0.59 eV/atom

***

Entry from Alexandria via LeMat-Bulk: a relaxed structure of Hf4GaPd (PBE).

Structure (POSCAR):
```
Hf4GaPd
1.0
-4.8571 0.6786 2.1711
-2.3659 -4.9804 -3.7363
1.5433 -4.3414 4.8097
Hf Pd Ga
8 2 2
Direct
0.5000 0.1571 0.3430 Hf
0.0000 0.8429 0.3430 Hf
0.5000 0.8429 0.6570 Hf
0.0000 0.1571 0.6570 Hf
0.0000 0.3430 0.1571 Hf
0.5000 0.3430 0.8429 Hf
0.5000 0.6570 0.1571 Hf
0.0000 0.6570 0.8429 Hf
0.2500 0.0000 0.0000 Pd
0.7500 0.0000 0.0000 Pd
0.7500 0.5000 0.5000 Ga
0.2500 0.5000 0.5000 Ga
```

Summary:
Energy above the most stable polymorph in this dataset ... 0 meV per atom
Total magnetization ... 0.0 μB per cell
Raw total energy ... -8.426 eV/atom
SG ... No. 124
Energy relative to the elements ... -0.42 eV/atom

***

Entry from Alexandria via LeMat-Bulk: a relaxed structure of Hf4Ga3Pd (PBE).

Structure (POSCAR):
```
Hf4Ga3Pd
1.0
-1.8241 -2.7686 1.8193
3.1761 -0.6631 2.1753
-3.3387 6.7566 6.9345
Hf Ga Pd
4 3 1
Direct
0.5000 0.0000 0.6472 Hf
0.0000 0.5000 0.8513 Hf
0.5000 0.5000 0.3564 Hf
0.0000 0.0000 0.1425 Hf
0.5000 0.0000 0.9165 Ga
0.0000 0.5000 0.5800 Ga
0.0000 0.0000 0.4188 Ga
0.5000 0.5000 0.0873 Pd
```

Summary:
Total magnetization ... 0.0 μB per cell
Raw total energy ... -7.275 eV/atom
SG ... No. 25
Energy relative to the elements ... -0.51 eV/atom

***

Entry from Alexandria via LeMat-Bulk: a relaxed structure of HfGaPd4 (PBE).

Structure (POSCAR):
```
HfGaPd4
1.0
-1.3183 -2.3732 3.9216
-3.7160 -1.8363 -2.3605
4.8193 -6.6545 -2.4102
Pd Hf Ga
8 2 2
Direct
0.4998 0.5013 0.6578 Pd
0.9999 0.4990 0.8345 Pd
0.9998 0.9987 0.6578 Pd
0.4999 0.0010 0.8345 Pd
0.5002 0.4987 0.3422 Pd
0.0002 0.0013 0.3422 Pd
0.0001 0.5010 0.1655 Pd
0.5001 0.9990 0.1655 Pd
0.5000 0.5000 0.0000 Hf
0.0000 0.0000 0.0000 Hf
0.0000 0.5000 0.5000 Ga
0.5000 0.0000 0.5000 Ga
```

Summary:
Total magnetization ... 0.0 μB per cell
Raw total energy ... -6.261 eV/atom
SG ... No. 53
Energy relative to the elements ... -0.64 eV/atom

***

Entry from Alexandria via LeMat-Bulk: a relaxed structure of HfGa4Pd (PBE).

Structure (POSCAR):
```
HfGa4Pd
1.0
-1.4019 -1.6355 3.9323
-2.9490 -3.1433 -2.3587
6.7698 -6.2209 -0.1737
Ga Hf Pd
8 2 2
Direct
0.0000 0.9998 0.6532 Ga
0.5000 0.5002 0.6532 Ga
0.0000 0.5001 0.1898 Ga
0.5000 0.9999 0.1898 Ga
0.5000 0.4998 0.3468 Ga
0.0000 0.4999 0.8102 Ga
0.5000 0.0001 0.8102 Ga
0.0000 0.0002 0.3468 Ga
0.5000 0.5000 0.0000 Hf
0.0000 0.0000 0.0000 Hf
0.5000 0.0000 0.5000 Pd
0.0000 0.5000 0.5000 Pd
```

Summary:
Total magnetization ... 0.0 μB per cell
Raw total energy ... -4.880 eV/atom
SG ... No. 65
Energy relative to the elements ... -0.34 eV/atom

***

Entry from Alexandria via LeMat-Bulk: a relaxed structure of Hf2GaPd8 (PBE).

Structure (POSCAR):
```
Hf2GaPd8
1.0
4.5485 0.0000 0.0000
0.0000 5.8165 -0.1774
-2.2742 -2.7019 6.9367
Pd Hf Ga
8 2 1
Direct
0.3620 0.1226 0.7240 Pd
0.6380 0.8774 0.2760 Pd
0.1833 0.1833 0.3666 Pd
0.3619 0.6014 0.7238 Pd
0.0000 0.7443 0.0000 Pd
0.6381 0.3986 0.2762 Pd
0.8167 0.8167 0.6334 Pd
0.0000 0.2557 0.0000 Pd
0.1878 0.6877 0.3755 Hf
0.8122 0.3123 0.6245 Hf
0.5000 0.0000 0.0000 Ga
```

Summary:
Total magnetization ... 0.0 μB per cell
Raw total energy ... -6.545 eV/atom
SG ... No. 71
Energy relative to the elements ... -0.68 eV/atom

***

Entry from Alexandria via LeMat-Bulk: a relaxed structure of HfGaPd (PBE).

Structure (POSCAR):
```
HfGaPd
1.0
-1.4335 -2.0075 -2.3684
-3.0337 -3.8607 2.6397
-5.8221 1.8228 -0.4899
Ga Hf Pd
2 2 2
Direct
0.8604 0.1032 0.1759 Ga
0.1396 0.8968 0.8241 Ga
0.4130 0.3607 0.8134 Hf
0.5870 0.6393 0.1866 Hf
0.8496 0.7449 0.5559 Pd
0.1504 0.2551 0.4441 Pd
```

Summary:
Total magnetization ... 0.0 μB per cell
Raw total energy ... -6.715 eV/atom
SG ... No. 12
Energy relative to the elements ... -0.66 eV/atom

***

Entry from Alexandria via LeMat-Bulk: a relaxed structure of Hf3Ga2Pd8 (PBE).

Structure (POSCAR):
```
Hf3Ga2Pd8
1.0
-3.7305 -3.2336 -1.9735
-3.5163 -2.3018 3.2565
-8.1849 5.4609 -0.6379
Ga Hf Pd
2 3 8
Direct
0.3689 0.3689 0.8932 Ga
0.6311 0.6311 0.1068 Ga
0.8095 0.8095 0.5714 Hf
0.0000 0.0000 0.0000 Hf
0.1905 0.1905 0.4286 Hf
0.7280 0.2237 0.3202 Pd
0.7280 0.7280 0.3202 Pd
0.2237 0.7280 0.3202 Pd
0.7763 0.2720 0.6798 Pd
0.7161 0.7161 0.8518 Pd
0.2839 0.2839 0.1482 Pd
0.2720 0.7763 0.6798 Pd
0.2720 0.2720 0.6798 Pd
```

Summary:
Total magnetization ... 0.0 μB per cell
Raw total energy ... -6.427 eV/atom
SG ... No. 166
Energy relative to the elements ... -0.47 eV/atom

***

Entry from Alexandria via LeMat-Bulk: a relaxed structure of HfGa2Pd7 (PBE).

Structure (POSCAR):
```
HfGa2Pd7
1.0
3.9965 0.0000 -0.7690
-0.1480 3.9937 -0.7690
-0.0747 -0.0775 10.3814
Hf Ga Pd
1 2 7
Direct
0.0000 0.0000 0.0000 Hf
0.3254 0.3254 0.6508 Ga
0.6746 0.6746 0.3492 Ga
0.9021 0.4021 0.8042 Pd
0.2500 0.7500 0.5000 Pd
0.4021 0.9021 0.8042 Pd
0.7500 0.2500 0.5000 Pd
0.0979 0.5979 0.1958 Pd
0.5979 0.0979 0.1958 Pd
0.5000 0.5000 0.0000 Pd
```

Summary:
Total magnetization ... 0.0 μB per cell
Raw total energy ... -5.901 eV/atom
SG ... No. 139
Energy relative to the elements ... -0.67 eV/atom

***

Entry from Alexandria via LeMat-Bulk: a relaxed structure of HfGa2Pd3 (PBE).

Structure (POSCAR):
```
HfGa2Pd3
1.0
-3.1453 -3.1750 0.2681
4.0014 -0.9563 -1.7662
3.7584 -2.8727 10.0702
Pd Hf Ga
6 2 4
Direct
0.0000 0.0000 0.2269 Pd
0.3333 0.6667 0.4258 Pd
0.6667 0.3333 0.0732 Pd
0.3333 0.6667 0.9268 Pd
0.0000 0.0000 0.7731 Pd
0.6667 0.3333 0.5742 Pd
0.6667 0.3333 0.3270 Hf
0.3333 0.6667 0.6730 Hf
0.0000 0.0000 0.5000 Ga
0.6667 0.3333 0.8241 Ga
0.3333 0.6667 0.1759 Ga
0.0000 0.0000 0.0000 Ga
```

Summary:
Total magnetization ... 0.0 μB per cell
Raw total energy ... -5.931 eV/atom
SG ... No. 164
Energy relative to the elements ... -0.67 eV/atom

***

Entry from Alexandria via LeMat-Bulk: a relaxed structure of Hf2GaPd6 (PBE).

Structure (POSCAR):
```
Hf2GaPd6
1.0
-2.3753 -0.7402 -2.3152
5.1189 -1.3867 -4.8084
-1.2840 -5.3287 5.4987
Pd Hf Ga
6 2 1
Direct
0.8357 0.6286 0.6695 Pd
0.1643 0.9591 0.3305 Pd
0.5000 0.2672 0.0000 Pd
0.1643 0.3714 0.3305 Pd
0.5000 0.7328 0.0000 Pd
0.8357 0.0409 0.6695 Pd
0.3418 0.3406 0.6811 Hf
0.6582 0.6594 0.3189 Hf
0.0000 0.0000 0.0000 Ga
```

Summary:
Total magnetization ... 0.0 μB per cell
Raw total energy ... -6.535 eV/atom
SG ... No. 12
Energy relative to the elements ... -0.52 eV/atom

***

Entry from Alexandria via LeMat-Bulk: a relaxed structure of Hf2GaPd7 (PBE).

Structure (POSCAR):
```
Hf2GaPd7
1.0
2.9281 0.0000 0.0000
0.0000 9.0462 -1.1082
0.0000 -5.0702 7.5733
Pd Ga Hf
7 1 2
Direct
0.5000 0.7115 0.8942 Pd
0.0000 0.7957 0.2043 Pd
0.5000 0.8942 0.7115 Pd
0.0000 0.2043 0.7957 Pd
0.5000 0.1058 0.2885 Pd
0.5000 0.5000 0.5000 Pd
0.5000 0.2885 0.1058 Pd
0.0000 0.0000 0.0000 Ga
0.5000 0.6632 0.3368 Hf
0.5000 0.3368 0.6632 Hf
```

Summary:
Total magnetization ... 0.0 μB per cell
Raw total energy ... -6.121 eV/atom
SG ... No. 65
Energy relative to the elements ... -0.19 eV/atom

***

Entry from Alexandria via LeMat-Bulk: a relaxed structure of Hf2Ga3Pd (PBE).

Structure (POSCAR):
```
Hf2Ga3Pd
1.0
-4.0805 3.5074 -0.0141
-2.7593 -0.5597 -4.5853
-1.0479 -6.6582 5.6211
Ga Hf Pd
6 4 2
Direct
0.8323 0.8323 0.6645 Ga
0.6644 0.6644 0.8330 Ga
0.1686 0.1686 0.8330 Ga
0.1677 0.1677 0.3355 Ga
0.8314 0.8314 0.1670 Ga
0.3356 0.3356 0.1670 Ga
0.7500 0.2500 0.5000 Hf
0.2515 0.7485 0.0000 Hf
0.7485 0.2515 0.0000 Hf
0.2500 0.7500 0.5000 Hf
0.3335 0.3335 0.6669 Pd
0.6665 0.6665 0.3331 Pd
```

Summary:
Total magnetization ... 0.0 μB per cell
Raw total energy ... -6.235 eV/atom
SG ... No. 69
Energy relative to the elements ... -0.54 eV/atom

***

Entry from Alexandria via LeMat-Bulk: a relaxed structure of HfGa2Pd2 (PBE).

Structure (POSCAR):
```
HfGa2Pd2
1.0
-0.4617 -5.3615 5.2471
7.4125 -1.1349 -0.5074
0.4474 1.9936 2.0764
Ga Pd Hf
4 4 2
Direct
0.1630 0.6630 0.5000 Ga
0.8370 0.3370 0.5000 Ga
0.3370 0.1630 0.5000 Ga
0.6630 0.8370 0.5000 Ga
0.6344 0.1344 0.0000 Pd
0.3656 0.8656 0.0000 Pd
0.8656 0.6344 0.0000 Pd
0.1344 0.3656 0.0000 Pd
0.5000 0.5000 0.0000 Hf
0.0000 0.0000 0.0000 Hf
```

Summary:
Energy above the most stable polymorph in this dataset ... 92 meV per atom
Total magnetization ... 0.0 μB per cell
Raw total energy ... -5.788 eV/atom
SG ... No. 127
Energy relative to the elements ... -0.51 eV/atom

***

Entry from Alexandria via LeMat-Bulk: a relaxed structure of Hf4GaPd (PBE).

Structure (POSCAR):
```
Hf4GaPd
1.0
-4.3059 -2.0229 -2.6115
4.9171 -2.2587 -0.4163
-1.2633 -0.6310 5.2401
Pd Hf Ga
1 4 1
Direct
0.0000 0.0000 0.0000 Pd
0.9053 0.4053 0.8106 Hf
0.0947 0.9053 0.5000 Hf
0.5947 0.0947 0.1894 Hf
0.4053 0.5947 0.5000 Hf
0.5000 0.5000 0.0000 Ga
```

Summary:
Energy above the most stable polymorph in this dataset ... 12 meV per atom
Total magnetization ... 0.0 μB per cell
Raw total energy ... -8.414 eV/atom
SG ... No. 97
Energy relative to the elements ... -0.41 eV/atom

***

Entry from Alexandria via LeMat-Bulk: a relaxed structure of HfGa3Pd (PBE).

Structure (POSCAR):
```
HfGa3Pd
1.0
4.7158 0.0000 0.0000
0.0000 4.7158 0.0000
0.0000 0.0000 4.7158
Hf Ga Pd
1 3 1
Direct
0.5000 0.5000 0.5000 Hf
0.0000 0.5000 0.0000 Ga
0.0000 0.0000 0.5000 Ga
0.5000 0.0000 0.0000 Ga
0.0000 0.0000 0.0000 Pd
```

Summary:
Energy above the most stable polymorph in this dataset ... 539 meV per atom
Total magnetization ... 0.0 μB per cell
Raw total energy ... -4.642 eV/atom
SG ... No. 221
Energy relative to the elements ... 0.20 eV/atom

***

Entry from Alexandria via LeMat-Bulk: a relaxed structure of Hf2Ga3Pd2 (PBE).

Structure (POSCAR):
```
Hf2Ga3Pd2
1.0
-3.3317 -0.2089 2.1241
3.5167 -2.2185 5.2979
1.2301 4.9798 -1.2660
Hf Ga Pd
2 3 2
Direct
0.6344 0.7678 0.2688 Hf
0.3656 0.2322 0.7312 Hf
0.6596 0.2091 0.3191 Ga
0.3404 0.7909 0.6809 Ga
0.0000 0.0000 0.0000 Ga
0.8860 0.5727 0.7720 Pd
0.1140 0.4273 0.2280 Pd
```

Summary:
Total magnetization ... 0.0 μB per cell
Raw total energy ... -6.195 eV/atom
SG ... No. 12
Energy relative to the elements ... -0.57 eV/atom

***

Entry from Alexandria via LeMat-Bulk: a relaxed structure of HfGa3Pd (PBE).

Structure (POSCAR):
```
HfGa3Pd
1.0
4.2064 -0.0010 0.0000
0.0015 6.4479 0.0000
0.0000 0.0000 6.6348
Ga Hf Pd
6 2 2
Direct
0.2500 0.5376 0.2895 Ga
0.7500 0.0376 0.7105 Ga
0.2500 0.2500 0.9950 Ga
0.7500 0.4624 0.7105 Ga
0.7500 0.7500 0.0050 Ga
0.2500 0.9624 0.2895 Ga
0.2500 0.7500 0.6931 Hf
0.7500 0.2500 0.3069 Hf
0.2500 0.2500 0.6156 Pd
0.7500 0.7500 0.3844 Pd
```

Summary:
Energy above the most stable polymorph in this dataset ... 0 meV per atom
Total magnetization ... 0.0 μB per cell
Raw total energy ... -5.181 eV/atom
SG ... No. 59
Energy relative to the elements ... -0.34 eV/atom

***

Entry from Alexandria via LeMat-Bulk: a relaxed structure of Hf2Ga8Pd (PBE).

Structure (POSCAR):
```
Hf2Ga8Pd
1.0
-3.7048 -1.3418 0.4203
1.2429 -1.7094 5.4985
-1.4520 9.5274 -1.0628
Ga Hf Pd
8 2 1
Direct
0.0255 0.7485 0.0511 Ga
0.3923 0.5611 0.7846 Ga
0.6317 0.9884 0.2634 Ga
0.9745 0.2515 0.9489 Ga
0.6077 0.4389 0.2154 Ga
0.7871 0.6687 0.5742 Ga
0.2129 0.3313 0.4258 Ga
0.3683 0.0116 0.7366 Ga
0.1952 0.7971 0.3904 Hf
0.8048 0.2029 0.6096 Hf
0.5000 0.0000 0.0000 Pd
```

Summary:
Total magnetization ... 0.0 μB per cell
Raw total energy ... -4.781 eV/atom
SG ... No. 12
Energy relative to the elements ... -0.30 eV/atom